YBI2N after structural relaxation. Source: Alexandria, functional PBE-GGA.

The value obtained for the total magnetization is 0.0 μB per formula unit. The value obtained for the total energy is -4.757 eV per atom. The energy relative to the elements, uncorrected is 0.78 eV per formula unit. Its space-group type is P4/mmm (123).

Cell: 6.199 6.199 2.977 Å, 90.00 90.00 90.00°
Element x y z (fractional)
Y: 0.000 0.000 0.000
B: 0.500 0.500 0.500
I: 0.000 0.500 0.500
I: 0.500 0.000 0.500
N: 0.500 0.500 0.000